# PBE LaPm4Nd2Th, optimized geometry
# * ΔH_f (0 K): 0.032 eV per atom
# * spin magnetization: 0.0 Bohr magnetons per cell
# * calculated total energy: -5.08 eV/atom
data_LaPm4Nd2Th
_chemical_formula_sum 'La1 Pm4 Nd2 Th1'
_cell_length_a 6.332
_cell_length_b 3.664
_cell_length_c 12.143
_cell_angle_alpha 90.00
_cell_angle_beta 100.17
_cell_angle_gamma 90.00
_space_group_name_H-M_alt 'P 1 2/m 1'
_space_group_IT_number 10
loop_
_space_group_symop_operation_xyz
'x,y,z'
'-x,-y,-z'
'-x,y,-z'
'x,-y,z'
loop_
_atom_site_label
_atom_site_fract_x
_atom_site_fract_y
_atom_site_fract_z
La1 0.000 0.000 0.000
Pm1 0.241 0.000 0.743
Pm2 0.248 0.500 0.253
Nd1 0.500 0.000 0.500
Nd2 0.500 0.500 0.000
Th1 0.000 0.500 0.500